Entry 1:
The following is a PBE calculation of crystalline K2AlReO6 at its relaxed geometry, from the Alexandria database.

The structure in POSCAR format:
```
K2AlReO6
1.0
0.000 3.874 3.874
3.874 0.000 3.874
3.874 3.874 0.000
K Al Re O
2 1 1 6
Cartesian
1.937 1.937 1.937
5.811 5.811 5.811
0.000 0.000 0.000
3.874 3.874 3.874
3.874 3.874 1.963
3.874 1.963 3.874
5.785 3.874 3.874
1.963 3.874 3.874
3.874 5.785 3.874
3.874 3.874 5.785
```

Results
**Symmetry**: Fm-3m
**E_form (uncorrected)**: -1.987 eV/atom

---

Entry 2:
The following is a PBE calculation of crystalline MnCd2W2 at its relaxed geometry, from the Alexandria database.

The structure in POSCAR format:
```
MnCd2W2
1.0
-1.888 1.888 6.906
1.888 -1.888 6.906
1.888 1.888 -6.906
Mn Cd W
1 2 2
Cartesian
0.000 0.000 0.000
1.888 0.000 3.453
0.000 1.888 3.453
0.000 0.000 5.759
0.000 0.000 8.052
```

Results
**Symmetry**: I4/mmm
**ΔH_f (0 K)**: 1.12 eV/atom

---

Entry 3:
The following is a PBE calculation of crystalline InCu2As at its relaxed geometry, from the Alexandria database.

The structure in POSCAR format:
```
InCu2As
1.0
4.027 -1.588 0.000
4.027 1.588 0.000
-1.137 0.000 5.609
In Cu As
1 2 1
Cartesian
0.000 0.000 0.000
3.462 0.000 2.497
5.765 0.000 1.498
1.168 0.000 3.452
```

Results
**Symmetry**: Cm
**ΔH_f (0 K)**: 0.11 eV/atom